(1)
# CsMg2Cu2P3 (PBE, optimized geometry)
data_CsMg2Cu2P3
_chemical_formula_sum 'Cs1 Mg2 Cu2 P3'
_cell_length_a 4.141
_cell_length_b 4.141
_cell_length_c 10.177
_cell_angle_alpha 90.00
_cell_angle_beta 90.00
_cell_angle_gamma 90.00
_symmetry_space_group_name_H-M 'P -4 m 2'
_symmetry_Int_Tables_number 115
loop_
_symmetry_equiv_pos_as_xyz
'x,y,z'
'y,-x,-z'
'-x,-y,z'
'-y,x,-z'
'-x,y,z'
'-y,-x,-z'
'x,-y,z'
'y,x,-z'
loop_
_atom_site_label
_atom_site_fract_x
_atom_site_fract_y
_atom_site_fract_z
Cs1 0.000 0.000 0.000
Mg1 0.000 0.500 0.645
Cu1 0.000 0.500 0.344
P1 0.000 0.000 0.500
P2 0.500 0.500 0.225
# V	21.82	A^3/atom
# E	-30.120	eV/cell

=====

(2)
# CsCuNiMo (PBE, optimized geometry)
data_CsCuNiMo
_chemical_formula_sum 'Cs4 Cu4 Ni4 Mo4'
_cell_length_a 6.890
_cell_length_b 6.890
_cell_length_c 6.890
_cell_angle_alpha 90.00
_cell_angle_beta 90.00
_cell_angle_gamma 90.00
_symmetry_space_group_name_H-M 'F -4 3 m'
_symmetry_Int_Tables_number 216
_symmetry_space_group_name_Hall 'F -4 2 3'
loop_
_atom_site_label
_atom_site_fract_x
_atom_site_fract_y
_atom_site_fract_z
Cs1 0.000 0.000 0.000
Cu1 0.250 0.250 0.750
Ni1 0.250 0.250 0.250
Mo1 0.000 0.000 0.500
# V	20.45	A^3/atom
# energy relative to the lowest polymorph listed for this composition	0.0000	eV per atom

=====

(3)
# CsCuMoPd (PBE, optimized geometry)
data_CsCuMoPd
_chemical_formula_sum 'Cs4 Cu4 Mo4 Pd4'
_cell_length_a 7.023
_cell_length_b 7.023
_cell_length_c 7.023
_cell_angle_alpha 90.00
_cell_angle_beta 90.00
_cell_angle_gamma 90.00
_symmetry_space_group_name_H-M 'F -4 3 m'
_symmetry_Int_Tables_number 216
_symmetry_space_group_name_Hall 'F -4 2 3'
loop_
_atom_site_label
_atom_site_fract_x
_atom_site_fract_y
_atom_site_fract_z
Cs1 0.000 0.000 0.000
Cu1 0.000 0.000 0.500
Mo1 0.250 0.250 0.250
Pd1 0.250 0.250 0.750
# V	21.65	A^3/atom
# energy relative to the lowest polymorph listed for this composition	0.0815	eV per atom

=====

(4)
# CsCuMoPd (PBE, optimized geometry)
data_CsCuMoPd
_chemical_formula_sum 'Cs4 Cu4 Mo4 Pd4'
_cell_length_a 6.723
_cell_length_b 6.723
_cell_length_c 6.723
_cell_angle_alpha 90.00
_cell_angle_beta 90.00
_cell_angle_gamma 90.00
_symmetry_space_group_name_H-M 'F -4 3 m'
_symmetry_Int_Tables_number 216
_symmetry_space_group_name_Hall 'F -4 2 3'
loop_
_atom_site_label
_atom_site_fract_x
_atom_site_fract_y
_atom_site_fract_z
Cs1 0.000 0.000 0.000
Cu1 0.250 0.250 0.250
Mo1 0.250 0.250 0.750
Pd1 0.000 0.000 0.500
# V	18.99	A^3/atom
# energy relative to the lowest polymorph listed for this composition	0.0497	eV per atom

=====

(5)
# CsCuMoPd (PBE, optimized geometry)
data_CsCuMoPd
_chemical_formula_sum 'Cs4 Cu4 Mo4 Pd4'
_cell_length_a 7.131
_cell_length_b 7.131
_cell_length_c 7.131
_cell_angle_alpha 90.00
_cell_angle_beta 90.00
_cell_angle_gamma 90.00
_symmetry_space_group_name_H-M 'F -4 3 m'
_symmetry_Int_Tables_number 216
_symmetry_space_group_name_Hall 'F -4 2 3'
loop_
_atom_site_label
_atom_site_fract_x
_atom_site_fract_y
_atom_site_fract_z
Cs1 0.000 0.000 0.000
Cu1 0.250 0.250 0.750
Mo1 0.000 0.000 0.500
Pd1 0.250 0.250 0.250
# V	22.66	A^3/atom
# energy relative to the lowest polymorph listed for this composition	0.0000	eV per atom

=====

(6)
# CsCuTeMoSe2 (PBE, optimized geometry)
data_CsCuTeMoSe2
_chemical_formula_sum 'Cs4 Cu4 Te4 Mo4 Se8'
_cell_length_a 3.925
_cell_length_b 16.912
_cell_length_c 10.306
_cell_angle_alpha 90.00
_cell_angle_beta 90.00
_cell_angle_gamma 90.00
_symmetry_space_group_name_H-M 'C m c m'
_symmetry_Int_Tables_number 63
_symmetry_space_group_name_Hall '-C 2c 2'
loop_
_atom_site_label
_atom_site_fract_x
_atom_site_fract_y
_atom_site_fract_z
Cs1 0.000 0.232 0.250
Cu1 0.000 0.470 0.750
Te1 0.000 0.072 0.750
Mo1 0.000 0.000 0.000
Se1 0.000 0.400 0.549
# V	28.50	A^3/atom
# E	-112.700	eV/cell

=====

(7)
# CsNaCuP (PBE, optimized geometry)
data_CsNaCuP
_chemical_formula_sum 'Cs4 Na4 Cu4 P4'
_cell_length_a 5.949
_cell_length_b 7.439
_cell_length_c 9.826
_cell_angle_alpha 90.00
_cell_angle_beta 90.00
_cell_angle_gamma 90.00
_symmetry_space_group_name_H-M 'A m a 2'
_symmetry_Int_Tables_number 40
loop_
_symmetry_equiv_pos_as_xyz
'x,y,z'
'-x,-y,z'
'-x+1/2,y,z'
'x+1/2,-y,z'
'x,y+1/2,z+1/2'
'-x,-y+1/2,z+1/2'
'-x+1/2,y+1/2,z+1/2'
'x+1/2,-y+1/2,z+1/2'
loop_
_atom_site_label
_atom_site_fract_x
_atom_site_fract_y
_atom_site_fract_z
Cs1 0.250 0.149 0.000
Na1 0.250 0.151 0.656
Cu1 0.000 0.000 0.323
P1 0.250 0.223 0.345
# V	27.18	A^3/atom
# energy relative to the lowest polymorph listed for this composition	0.0851	eV per atom

=====

(8)
# CsNaCuP (PBE, optimized geometry)
data_CsNaCuP
_chemical_formula_sum 'Cs4 Na4 Cu4 P4'
_cell_length_a 5.524
_cell_length_b 10.223
_cell_length_c 7.740
_cell_angle_alpha 90.00
_cell_angle_beta 90.00
_cell_angle_gamma 90.00
_symmetry_space_group_name_H-M 'A m m 2'
_symmetry_Int_Tables_number 38
loop_
_symmetry_equiv_pos_as_xyz
'x,y,z'
'-x,-y,z'
'-x,y,z'
'x,-y,z'
'x,y+1/2,z+1/2'
'-x,-y+1/2,z+1/2'
'-x,y+1/2,z+1/2'
'x,-y+1/2,z+1/2'
loop_
_atom_site_label
_atom_site_fract_x
_atom_site_fract_y
_atom_site_fract_z
Cs1 0.000 0.174 0.000
Na1 0.500 0.152 0.324
Cu1 0.244 0.000 0.615
P1 0.000 0.000 0.381
P2 0.500 0.000 0.835
# V	27.32	A^3/atom
# energy relative to the lowest polymorph listed for this composition	0.0840	eV per atom

=====

(9)
# Cs2NaCu3P2 (PBE, optimized geometry)
data_Cs2NaCu3P2
_chemical_formula_sum 'Cs6 Na3 Cu9 P6'
_cell_length_a 6.1924
_cell_length_b 6.1924
_cell_length_c 19.8520
_cell_angle_alpha 90.00
_cell_angle_beta 90.00
_cell_angle_gamma 120.00
_symmetry_space_group_name_H-M 'R -3 m'
_symmetry_Int_Tables_number 166
_symmetry_space_group_name_Hall '-R 3 2"'
loop_
_atom_site_label
_atom_site_fract_x
_atom_site_fract_y
_atom_site_fract_z
Cs1 0.0000 0.0000 0.0933
Na1 0.0000 0.0000 0.5000
Cu1 0.0000 0.5000 0.0000
P1 0.0000 0.0000 0.2657
# V	27.47	A^3/atom
# E	-79.292	eV/cell

=====

(10)
# CsNaCuP (PBE, optimized geometry)
data_CsNaCuP
_chemical_formula_sum 'Cs2 Na2 Cu2 P2'
_cell_length_a 6.369
_cell_length_b 5.444
_cell_length_c 6.418
_cell_angle_alpha 90.00
_cell_angle_beta 103.83
_cell_angle_gamma 90.00
_symmetry_space_group_name_H-M 'P 1 21/m 1'
_symmetry_Int_Tables_number 11
loop_
_symmetry_equiv_pos_as_xyz
'x,y,z'
'-x,-y,-z'
'-x,y+1/2,-z'
'x,-y+1/2,z'
loop_
_atom_site_label
_atom_site_fract_x
_atom_site_fract_y
_atom_site_fract_z
Cs1 0.050 0.250 0.203
Na1 0.386 0.750 0.562
Cu1 0.500 0.000 0.000
P1 0.332 0.250 0.735
# V	27.01	A^3/atom
# energy relative to the lowest polymorph listed for this composition	0.0000	eV per atom